Ba2Tl2Co, optimized geometry, DFT PBE; density = 6.5 g/cm³; uncorrected energy = -14.3 eV per cell; polymorph energy (0 for the lowest one) = 99 meV per atom; density of states at the Fermi level = 4.51 states/eV/cell; crystal system = tetragonal; DFT formation energy = 0.28 eV/atom
1.0
4.859 -2.352 3.262
-4.818 -3.112 2.623
0.475 -0.812 -6.236
Ba Tl Co
2 2 1
direct
0.750 0.250 0.500
0.250 0.750 0.500
0.677 0.677 0.000
0.323 0.323 0.000
0.000 0.000 0.000

AcGd2In, optimized geometry, DFT PBE; density = 8.5 g/cm³; uncorrected energy = -35.9 eV per cell; polymorph energy (0 for the lowest one) = 2 meV per atom; density of states at the Fermi level = 4.57 states/eV/cell; crystal system = tetragonal; DFT formation energy = -0.23 eV/atom
1.0
5.013 0.000 0.000
0.000 5.057 0.000
0.000 0.000 5.057
Ac Gd In
1 2 1
direct
0.500 0.500 0.500
0.000 0.000 0.500
0.000 0.500 0.000
0.500 0.000 0.000

ScAlRe2, optimized geometry, DFT PBE; density = 11.5 g/cm³; uncorrected energy = -35.1 eV per cell; density of states at the Fermi level = 2.78 states/eV/cell; crystal system = tetragonal; DFT formation energy = -0.03 eV/atom
1.0
4.263 0.000 0.000
0.000 3.872 0.000
0.000 0.000 3.872
Sc Re Al
1 2 1
direct
0.500 0.500 0.000
0.000 0.000 0.000
0.000 0.500 0.500
0.500 0.000 0.500

NiPbBr2, optimized geometry, DFT PBE; density = 6.3 g/cm³; energy relative to the elements, uncorrected = -61.2 meV per atom; uncorrected energy = -13.1 eV per cell; polymorph energy (0 for the lowest one) = 270 meV per atom; density of states at the Fermi level = 2.73 states/eV/cell; crystal system = orthorhombic
1.0
3.734 -0.060 0.000
-1.210 3.533 0.000
0.000 0.000 8.570
Br Ni Pb
2 1 1
direct
0.000 0.000 0.959
0.500 0.500 0.357
0.000 0.000 0.468
0.500 0.500 0.717

Sr2PuSn3Pd4, optimized geometry, DFT PBE; density = 8.1 g/cm³; uncorrected energy = -57.1 eV per cell; density of states at the Fermi level = 12.92 states/eV/cell; crystal system = tetragonal; DFT formation energy = -0.66 eV/atom
1.0
4.705 0.000 0.000
0.000 4.705 0.000
0.000 0.000 11.143
Sr Pu Sn Pd
2 1 3 4
direct
0.500 0.000 0.230
0.000 0.500 0.770
0.500 0.500 0.500
0.000 0.000 0.500
0.500 0.000 0.882
0.000 0.500 0.118
0.500 0.500 0.000
0.000 0.000 0.000
0.500 0.000 0.644
0.000 0.500 0.356

Ti5C4, optimized geometry, DFT PBE; density = 4.9 g/cm³; uncorrected energy = -74.1 eV per cell; density of states at the Fermi level = 5.01 states/eV/cell; crystal system = tetragonal; DFT formation energy = 0.25 eV/atom
1.0
2.984 0.000 0.000
1.492 5.699 0.000
1.492 0.000 5.699
Ti C
5 4
direct
0.708 0.292 0.292
0.292 0.708 0.708
0.000 0.000 0.000
0.000 0.708 0.292
0.000 0.292 0.708
0.671 0.000 0.659
0.329 0.341 0.000
0.329 0.000 0.341
0.671 0.659 0.000

Rh2PbO6, optimized geometry, DFT PBE; density = 7.1 g/cm³; energy relative to the elements, uncorrected = -744.9 meV per atom; uncorrected energy = -54.9 eV per cell; density of states at the Fermi level = 6.98 states/eV/cell; crystal system = trigonal
1.0
4.877 0.000 0.000
0.000 4.589 -2.649
0.000 0.000 5.298
Rh Pb O
2 1 6
direct
0.500 0.667 0.333
0.500 0.333 0.667
0.000 0.000 0.000
0.719 0.626 0.626
0.281 0.626 0.000
0.281 0.000 0.626
0.719 0.374 0.000
0.281 0.374 0.374
0.719 0.000 0.374

MnPt2I, optimized geometry, DFT PBE; density = 12.9 g/cm³; energy relative to the elements, uncorrected = 428.8 meV per atom; uncorrected energy = -21.1 eV per cell; polymorph energy (0 for the lowest one) = 92 meV per atom; density of states at the Fermi level = 2.59 states/eV/cell; crystal system = cubic
1.0
0.000 3.324 3.324
3.324 0.000 3.324
3.324 3.324 0.000
I Mn Pt
1 1 2
direct
0.500 0.500 0.500
0.000 0.000 0.000
0.250 0.250 0.250
0.750 0.750 0.750